Entry 1:
{"formula": "TbCeYTm", "functional": "GGA-PBE", "state": "relaxed", "lattice_angstrom": [[0.000, 3.995, 3.995], [3.995, 0.000, 3.995], [3.995, 3.995, 0.000]], "species": ["Tb", "Ce", "Y", "Tm"], "fractional_positions": [[0.000, 0.000, 0.000], [0.250, 0.250, 0.250], [0.750, 0.750, 0.750], [0.500, 0.500, 0.500]], "ef_ev_per_atom": 0.1702}

***

Entry 2:
{"formula": "BaY4Pt3O12", "functional": "GGA-PBE", "state": "relaxed", "lattice_angstrom": [[-4.162, 4.162, 4.162], [4.162, -4.162, 4.162], [4.162, 4.162, -4.162]], "species": ["Ba", "Y", "Y", "Y", "Y", "Pt", "Pt", "Pt", "O", "O", "O", "O", "O", "O", "O", "O", "O", "O", "O", "O"], "fractional_positions": [[0.000, 0.000, 0.000], [0.000, 0.000, 0.500], [0.000, 0.500, 0.000], [0.500, 0.000, 0.000], [0.500, 0.500, 0.500], [0.000, 0.500, 0.500], [0.500, 0.000, 0.500], [0.500, 0.500, 0.000], [0.159, 0.319, 0.478], [0.159, 0.681, 0.839], [0.161, 0.841, 0.319], [0.319, 0.161, 0.841], [0.319, 0.478, 0.159], [0.478, 0.159, 0.319], [0.522, 0.841, 0.681], [0.681, 0.522, 0.841], [0.681, 0.839, 0.159], [0.839, 0.159, 0.681], [0.841, 0.319, 0.161], [0.841, 0.681, 0.522]], "raw_formation_energy_ev_per_atom": -2.133}

***

Entry 3:
{"formula": "Ca2TlHPb", "functional": "GGA-PBE", "state": "relaxed", "lattice_angstrom": [[5.119, 0.000, 0.000], [0.000, 5.119, 0.000], [0.000, 0.000, 4.692]], "species": ["Ca", "Ca", "Tl", "H", "Pb"], "fractional_positions": [[0.000, 0.500, 0.000], [0.500, 0.000, 0.000], [0.000, 0.000, 0.500], [0.500, 0.500, 0.000], [0.500, 0.500, 0.500]], "relative_energy_mev_per_atom": 37}

***

Entry 4:
{"formula": "InAg2Os", "functional": "GGA-PBE", "state": "relaxed", "lattice_angstrom": [[1.498, -2.451, 0.000], [1.498, 2.451, 0.000], [0.000, 0.000, 9.738]], "species": ["In", "Ag", "Ag", "Os"], "fractional_positions": [[0.000, 0.000, 0.000], [0.000, 0.000, 0.487], [0.500, 0.500, 0.736], [0.500, 0.500, 0.242]], "ef_ev_per_atom": 0.5032}

***

Entry 5:
{"formula": "In2FeHg", "functional": "GGA-PBE", "state": "relaxed", "lattice_angstrom": [[6.961, -1.453, 0.000], [6.961, 1.453, 0.000], [-1.468, 0.000, 4.292]], "species": ["In", "In", "Fe", "Hg"], "fractional_positions": [[0.000, 0.000, 0.000], [0.186, 0.186, 0.686], [0.679, 0.679, 0.179], [0.364, 0.364, 0.365]], "ef_ev_per_atom": 0.1963}

***

Entry 6:
{"formula": "Hg12I5Cl3", "functional": "GGA-PBE", "state": "relaxed", "lattice_angstrom": [[-9.235, 9.235, 9.235], [9.235, -9.235, 9.235], [9.235, 9.235, -9.235]], "species": ["Hg", "Hg", "Hg", "Hg", "Hg", "Hg", "Hg", "Hg", "Hg", "Hg", "Hg", "Hg", "Hg", "Hg", "Hg", "Hg", "Hg", "Hg", "Hg", "Hg", "Hg", "Hg", "Hg", "Hg", "Hg", "Hg", "Hg", "Hg", "Hg", "Hg", "Hg", "Hg", "Hg", "Hg", "Hg", "Hg", "Hg", "Hg", "Hg", "Hg", "Hg", "Hg", "Hg", "Hg", "Hg", "Hg", "Hg", "Hg", "I", "I", "I", "I", "I", "I", "I", "I", "I", "I", "I", "I", "I", "I", "I", "I", "I", "I", "I", "I", "Cl", "Cl", "Cl", "Cl", "Cl", "Cl", "Cl", "Cl", "Cl", "Cl", "Cl", "Cl"], "fractional_positions": [[0.064, 0.734, 0.656], [0.064, 0.830, 0.408], [0.078, 0.234, 0.170], [0.078, 0.344, 0.908], [0.092, 0.670, 0.436], [0.092, 0.922, 0.656], [0.156, 0.234, 0.564], [0.156, 0.422, 0.592], [0.170, 0.078, 0.234], [0.170, 0.592, 0.936], [0.234, 0.170, 0.078], [0.234, 0.564, 0.156], [0.266, 0.344, 0.936], [0.266, 0.422, 0.330], [0.330, 0.266, 0.422], [0.330, 0.564, 0.908], [0.344, 0.908, 0.078], [0.344, 0.936, 0.266], [0.408, 0.064, 0.830], [0.408, 0.844, 0.578], [0.422, 0.330, 0.266], [0.422, 0.592, 0.156], [0.436, 0.092, 0.670], [0.436, 0.844, 0.766], [0.564, 0.156, 0.234], [0.564, 0.908, 0.330], [0.578, 0.408, 0.844], [0.578, 0.670, 0.734], [0.592, 0.156, 0.422], [0.592, 0.936, 0.170], [0.656, 0.064, 0.734], [0.656, 0.092, 0.922], [0.670, 0.436, 0.092], [0.670, 0.734, 0.578], [0.734, 0.578, 0.670], [0.734, 0.656, 0.064], [0.766, 0.436, 0.844], [0.766, 0.830, 0.922], [0.830, 0.408, 0.064], [0.830, 0.922, 0.766], [0.844, 0.578, 0.408], [0.844, 0.766, 0.436], [0.908, 0.078, 0.344], [0.908, 0.330, 0.564], [0.922, 0.656, 0.092], [0.922, 0.766, 0.830], [0.936, 0.170, 0.592], [0.936, 0.266, 0.344], [0.000, 0.000, 0.000], [0.000, 0.000, 0.500], [0.000, 0.500, 0.000], [0.000, 0.500, 0.500], [0.125, 0.750, 0.875], [0.125, 0.875, 0.250], [0.250, 0.125, 0.875], [0.250, 0.625, 0.375], [0.375, 0.250, 0.625], [0.375, 0.625, 0.750], [0.500, 0.000, 0.000], [0.500, 0.000, 0.500], [0.500, 0.500, 0.000], [0.500, 0.500, 0.500], [0.625, 0.375, 0.250], [0.625, 0.750, 0.375], [0.750, 0.375, 0.625], [0.750, 0.875, 0.125], [0.875, 0.125, 0.750], [0.875, 0.250, 0.125], [0.125, 0.250, 0.375], [0.125, 0.375, 0.750], [0.250, 0.375, 0.125], [0.250, 0.875, 0.625], [0.375, 0.125, 0.250], [0.375, 0.750, 0.125], [0.625, 0.250, 0.875], [0.625, 0.875, 0.750], [0.750, 0.125, 0.375], [0.750, 0.625, 0.875], [0.875, 0.625, 0.250], [0.875, 0.750, 0.625]], "raw_formation_energy_ev_per_atom": -0.068}

***

Entry 7:
{"formula": "In2Hg", "functional": "GGA-PBE", "state": "relaxed", "lattice_angstrom": [[-1.915, 2.052, 5.088], [1.915, -2.052, 5.088], [1.915, 2.052, -5.088]], "species": ["In", "In", "Hg"], "fractional_positions": [[0.164, 0.164, 0.000], [0.836, 0.836, 0.000], [0.500, 0.500, 0.000]], "relative_energy_mev_per_atom": 19, "ef_ev_per_atom": 0.0210}

***

Entry 8:
{"formula": "Lu3Au", "functional": "GGA-PBE", "state": "relaxed", "lattice_angstrom": [[3.509, 0.000, 0.000], [0.000, 3.606, 0.000], [0.000, 0.000, 9.058]], "species": ["Lu", "Lu", "Lu", "Au"], "fractional_positions": [[0.000, 0.000, 0.000], [0.000, 0.500, 0.329], [0.500, 0.500, 0.736], [0.500, 0.000, 0.479]], "relative_energy_mev_per_atom": 207, "ef_ev_per_atom": -0.2265}

***

Number 1: V 127 Å³ per cell, magnetization 0.335 μB/atom, DFT total energy -0.383 Ry per atom. Number 2: V 288 Å³ per cell, magnetization 0.198 μB/atom, DFT total energy -0.544 Ry per atom. Number 3: V 123 Å³ per cell, magnetization 0.000 μB/atom, DFT total energy -0.221 Ry per atom. Number 4: V 72 Å³ per cell, magnetization 0.029 μB/atom, DFT total energy -0.324 Ry per atom. Number 5: V 87 Å³ per cell, magnetization 0.499 μB/atom, DFT total energy -0.247 Ry per atom. Number 6: V 3150 Å³ per cell, magnetization 0.000 μB/atom, DFT total energy -0.067 Ry per atom. Number 7: V 80 Å³ per cell, magnetization 0.000 μB/atom, DFT total energy -0.140 Ry per atom. Number 8: V 115 Å³ per cell, magnetization 0.000 μB/atom, DFT total energy -0.326 Ry per atom.